# 1
Material: NaSr3Ga8
Method: DFT, PBE
State: relaxed

Total DFT energy (no corrections) in eV/atom: -2.895
Crystal system: trigonal

Cell: 10.146 10.146 10.146 Å, 32.94 32.94 32.94°
Element x y z (fractional)
1 Na 0.000 0.000 0.000
2 Sr 0.122 0.122 0.122
3 Sr 0.501 0.501 0.501
4 Sr 0.628 0.628 0.628
5 Ga 0.063 0.562 0.562
6 Ga 0.064 0.064 0.564
7 Ga 0.064 0.564 0.064
8 Ga 0.313 0.313 0.313
9 Ga 0.562 0.063 0.562
10 Ga 0.562 0.562 0.063
11 Ga 0.564 0.064 0.064
12 Ga 0.813 0.813 0.813

# 2
Material: LaCoSe2
Method: DFT, PBE
State: relaxed

Crystal system: trigonal
Formation energy from raw total energies in eV per atom: -1.008

Cell: 6.333 6.333 6.333 Å, 38.71 38.71 38.71°
Element x y z (fractional)
1 La 0.000 0.000 0.000
2 Co 0.500 0.500 0.500
3 Se 0.234 0.234 0.234
4 Se 0.766 0.766 0.766

# 3
Material: MnFe2HRu
Method: DFT, PBE
State: relaxed

Total DFT energy (no corrections) in eV/atom: -7.732
Crystal system: tetragonal

Cell: 3.694 3.694 3.810 Å, 90.00 90.00 90.00°
Element x y z (fractional)
1 Mn 0.000 0.000 0.000
2 Fe 0.000 0.500 0.500
3 Fe 0.500 0.000 0.500
4 H 0.500 0.500 0.500
5 Ru 0.500 0.500 0.000

# 4
Material: GePF2
Method: DFT, PBE
State: relaxed

Crystal system: trigonal
Formation energy from raw total energies in eV per atom: -0.747

Cell: 8.147 8.147 8.147 Å, 19.73 19.73 19.73°
Element x y z (fractional)
1 Ge 0.000 0.000 0.000
2 P 0.500 0.500 0.500
3 F 0.085 0.085 0.085
4 F 0.915 0.915 0.915

# 5
Material: U4Se6Br
Method: DFT, PBE
State: relaxed

Crystal system: hexagonal
Formation energy from raw total energies in eV per atom: -1.060

Cell: 8.929 8.929 3.903 Å, 90.00 90.00 120.00°
Element x y z (fractional)
1 U 0.000 0.000 0.000
2 U 0.028 0.514 0.500
3 U 0.486 0.514 0.500
4 U 0.486 0.972 0.500
5 Se 0.206 0.413 0.000
6 Se 0.206 0.794 0.000
7 Se 0.280 0.140 0.500
8 Se 0.587 0.794 0.000
9 Se 0.860 0.140 0.500
10 Se 0.860 0.720 0.500
11 Br 0.667 0.333 0.000

# 6
Material: PrThCd2
Method: DFT, PBE
State: relaxed

Total DFT energy (no corrections) in eV/atom: -3.666
Crystal system: cubic

Cell: 5.459 5.459 5.459 Å, 60.00 60.00 60.00°
Element x y z (fractional)
1 Pr 0.000 0.000 0.000
2 Th 0.500 0.500 0.500
3 Cd 0.250 0.250 0.250
4 Cd 0.750 0.750 0.750

# 7
Material: TbPu2Ni9
Method: DFT, PBE
State: relaxed

Total DFT energy (no corrections) in eV/atom: -7.414
Crystal system: trigonal

Cell: 8.625 8.625 8.625 Å, 33.27 33.27 33.27°
Element x y z (fractional)
1 Tb 0.000 0.000 0.000
2 Pu 0.142 0.142 0.142
3 Pu 0.858 0.858 0.858
4 Ni 0.082 0.582 0.582
5 Ni 0.333 0.333 0.333
6 Ni 0.418 0.418 0.918
7 Ni 0.418 0.918 0.418
8 Ni 0.500 0.500 0.500
9 Ni 0.582 0.082 0.582
10 Ni 0.582 0.582 0.082
11 Ni 0.667 0.667 0.667
12 Ni 0.918 0.418 0.418

# 8
Material: LaErTe6
Method: DFT, PBE
State: relaxed

Crystal system: orthorhombic
Formation energy from raw total energies in eV per atom: -0.974

Cell: 4.362 13.921 13.921 Å, 18.02 90.00 90.00°
Element x y z (fractional)
1 La 0.000 0.000 0.000
2 Er 0.500 0.653 0.653
3 Te 0.000 0.122 0.122
4 Te 0.000 0.403 0.403
5 Te 0.000 0.746 0.746
6 Te 0.500 0.246 0.246
7 Te 0.500 0.537 0.537
8 Te 0.500 0.903 0.903

# 9
Material: PrYCdRu
Method: DFT, PBE
State: relaxed

Total DFT energy (no corrections) in eV/atom: -5.559
Crystal system: cubic

Cell: 5.144 5.144 5.144 Å, 60.00 60.00 60.00°
Element x y z (fractional)
1 Pr 0.000 0.000 0.000
2 Y 0.500 0.500 0.500
3 Cd 0.750 0.750 0.750
4 Ru 0.250 0.250 0.250

# 10
Material: NaSrCa2Cd
Method: DFT, PBE
State: relaxed

Total DFT energy (no corrections) in eV/atom: -1.532
Crystal system: tetragonal

Cell: 6.093 6.093 5.846 Å, 90.00 90.00 90.00°
Element x y z (fractional)
1 Na 0.000 0.000 0.000
2 Sr 0.500 0.500 0.000
3 Ca 0.000 0.500 0.500
4 Ca 0.500 0.000 0.500
5 Cd 0.000 0.000 0.500

# 11
Material: CdFeCu2
Method: DFT, PBE
State: relaxed

Total DFT energy (no corrections) in eV/atom: -4.204
Crystal system: monoclinic

Cell: 2.793 3.427 5.966 Å, 90.00 90.19 90.00°
Element x y z (fractional)
1 Cd 0.000 0.000 0.000
2 Fe 0.000 0.000 0.500
3 Cu 0.500 0.500 0.286
4 Cu 0.500 0.500 0.714

# 12
Material: SrTcAs2Rh
Method: DFT, PBE
State: relaxed

Total DFT energy (no corrections) in eV/atom: -6.458
Crystal system: tetragonal

Cell: 6.484 6.484 6.484 Å, 142.09 142.09 54.69°
Element x y z (fractional)
1 Sr 0.000 0.000 0.000
2 Tc 0.250 0.750 0.500
3 As 0.360 0.360 0.000
4 As 0.640 0.640 0.000
5 Rh 0.750 0.250 0.500

Values of magnetization, in order: 0.00; 2.00; 1.54; 0.00; 10.59; 0.00; 8.86; 0.00; 0.00; 0.00; 2.88; 0.00, all in μB/cell.